Record 1
This record from the Alexandria database describes a relaxed structure of InCuO2. The functional is PBE-GGA.

Results
crystal system: tetragonal
formation energy (no corrections): -897 meV/atom

Cell lengths 4.801, 4.801, 9.970 Å; angles 90.00, 90.00, 90.00 degrees
Space group I-42d (No. 122)
Asymmetric unit:
In 0.000 0.000 0.000
Cu 0.000 0.000 0.500
O 0.246 0.250 0.625



Record 2
This record from the Alexandria database describes a relaxed structure of La2P2Se. The functional is PBE-GGA.

Results
crystal system: tetragonal
polymorph energy (0 for the lowest one): 0 meV/atom
formation energy (no corrections): -1417 meV/atom

Cell lengths 7.995, 7.995, 4.110 Å; angles 90.00, 90.00, 90.00 degrees
Space group P4/mbm (No. 127)
Asymmetric unit:
La 0.181 0.319 0.000
P 0.098 0.598 0.500
Se 0.000 0.000 0.000



Record 3
This record from the Alexandria database describes a relaxed structure of Pm2Dy6Tm3Tl. The functional is PBE-GGA.

Results
crystal system: monoclinic
formation enthalpy at 0 K: -0.025 eV/atom

Cell lengths 6.073, 10.527, 11.684 Å; angles 90.00, 100.02, 90.00 degrees
Space group C2/m (No. 12)
Asymmetric unit:
Pm 0.000 0.166 0.000
Dy 0.245 0.500 0.747
Dy 0.248 0.336 0.252
Tm 0.000 0.000 0.500
Tm 0.000 0.333 0.500
Tl 0.000 0.500 0.000



Record 4
This record from the Alexandria database describes a relaxed structure of Zn3MoP. The functional is PBE-GGA.

Results
crystal system: cubic
polymorph energy (0 for the lowest one): 396 meV/atom
formation enthalpy at 0 K: 1.382 eV/atom

Cell lengths 4.889, 4.889, 4.889 Å; angles 90.00, 90.00, 90.00 degrees
Space group Pm-3m (No. 221)
Asymmetric unit:
Zn 0.000 0.000 0.500
Mo 0.000 0.000 0.000
P 0.500 0.500 0.500



Record 5
This record from the Alexandria database describes a relaxed structure of Ag2Ru. The functional is PBE-GGA.

Results
crystal system: hexagonal
polymorph energy (0 for the lowest one): 403 meV/atom
formation enthalpy at 0 K: 0.758 eV/atom

Cell lengths 4.6114, 4.6114, 5.6012 Å; angles 90.00, 90.00, 120.00 degrees
Space group P6_3/mmc (No. 194)
Asymmetric unit:
Ag 0.0000 0.0000 0.0000
Ag 0.3333 0.6667 0.2500
Ru 0.3333 0.6667 0.7500



Record 6
This record from the Alexandria database describes a relaxed structure of MgCo2Te. The functional is PBE-GGA.

Results
crystal system: tetragonal
polymorph energy (0 for the lowest one): 129 meV/atom
formation energy (no corrections): 203 meV/atom

Cell lengths 3.428, 3.428, 5.335 Å; angles 90.00, 90.00, 90.00 degrees
Space group P4mm (No. 99)
Asymmetric unit:
Mg 0.000 0.000 0.000
Co 0.000 0.000 0.522
Co 0.500 0.500 0.808
Te 0.500 0.500 0.342



Let's list density of states at the Fermi level in order: 0.861; 3.564; 30.966; 4.530; 4.510; 3.517 states/eV per cell.
Let's list V in order: 229.8; 262.7; 735.6; 116.8; 103.2; 62.7 Å³ per cell.